# LiNdYPt GGA-PBE relaxed
data_LiNdYPt
_chemical_formula_sum 'Li4 Nd4 Y4 Pt4'
_cell_length_a 7.181
_cell_length_b 7.181
_cell_length_c 7.181
_cell_angle_alpha 90.00
_cell_angle_beta 90.00
_cell_angle_gamma 90.00
_space_group_name_H-M_alt 'F -4 3 m'
_space_group_IT_number 216
_space_group_name_Hall 'F -4 2 3'
loop_
_atom_site_label
_atom_site_fract_x
_atom_site_fract_y
_atom_site_fract_z
Li1 0.000 0.000 0.000
Nd1 0.250 0.250 0.250
Y1 0.250 0.250 0.750
Pt1 0.000 0.000 0.500
# E_form ... -0.587 eV per atom
# E ... -86.1 eV per cell

# LiNd2Zn3Pt4 GGA-PBE relaxed
data_LiNd2Zn3Pt4
_chemical_formula_sum 'Li1 Nd2 Zn3 Pt4'
_cell_length_a 4.097
_cell_length_b 4.097
_cell_length_c 11.296
_cell_angle_alpha 90.00
_cell_angle_beta 90.00
_cell_angle_gamma 90.00
_space_group_name_H-M_alt 'P -4 m 2'
_space_group_IT_number 115
_space_group_name_Hall 'P -4 -2'
loop_
_atom_site_label
_atom_site_fract_x
_atom_site_fract_y
_atom_site_fract_z
Li1 0.000 0.000 0.000
Nd1 0.000 0.500 0.747
Zn1 0.000 0.500 0.366
Zn2 0.500 0.500 0.000
Pt1 0.000 0.000 0.500
Pt2 0.000 0.500 0.144
Pt3 0.500 0.500 0.500
# E_form ... -0.776 eV per atom
# E ... -47.2 eV per cell

Number 2 is which compound? LiNd2Zn3Pt4